Dy5GaCu2 | GGA-PBE | relaxed

a = 7.7560 Å, b = 7.7560 Å, c = 12.8930 Å
α = 90.00°, β = 90.00°, γ = 90.00°
Space group I4/mcm (No. 140)
One atom of each set of equivalent atoms:
Dy 0.0000 0.0000 0.0000 (multiplicity 4)
Dy 0.1587 0.3413 0.1459 (multiplicity 16)
Ga 0.0000 0.0000 0.2500 (multiplicity 4)
Cu 0.1265 0.3735 0.5000 (multiplicity 8)

Properties
* Fermi-level density of states: 10.0 states/eV/f.u.
* mass density: 8.644 g/cm³
* ΔE_f: -25.32 kJ/mol of atoms
* raw total energy: -4.54 eV per atom



Tb3YSe4 | GGA-PBE | relaxed

a = 8.2718 Å, b = 11.5809 Å, c = 4.0488 Å
α = 90.00°, β = 90.00°, γ = 90.00°
Space group Cmmm (No. 65)
One atom of each set of equivalent atoms:
Tb 0.0000 0.0000 0.0000 (multiplicity 2)
Tb 0.2500 0.2500 0.5000 (multiplicity 4)
Y 0.0000 0.5000 0.0000 (multiplicity 2)
Se 0.0000 0.2503 0.0000 (multiplicity 4)
Se 0.2494 0.5000 0.5000 (multiplicity 4)

Properties
* Fermi-level density of states: 4.8 states/eV/f.u.
* mass density: 7.548 g/cm³
* ΔE_f (raw): -14.2 eV per formula unit
* raw total energy: -6.06 eV per atom



Pr3Zn2Ni7 | GGA-PBE | relaxed

a = 5.2169 Å, b = 5.2169 Å, c = 24.4867 Å
α = 90.00°, β = 90.00°, γ = 120.00°
Space group R-3m (No. 166, hexagonal axes)
One atom of each set of equivalent atoms:
Pr 0.0000 0.0000 0.0000 (multiplicity 3)
Pr 0.0000 0.0000 0.1399 (multiplicity 6)
Zn 0.0000 0.0000 0.3320 (multiplicity 6)
Ni 0.0000 0.0000 0.5000 (multiplicity 3)
Ni 0.0051 0.5026 0.0820 (multiplicity 18)

Properties
* Fermi-level density of states: 6.8 states/eV/f.u.
* mass density: 8.324 g/cm³
* ΔE_f: -31.47 kJ/mol of atoms
* raw total energy: -5.11 eV per atom



NbCuAg2W | GGA-PBE | relaxed

a = 4.9299 Å, b = 4.9299 Å, c = 4.5474 Å
α = 90.00°, β = 90.00°, γ = 90.00°
Space group P4/mmm (No. 123)
One atom of each set of equivalent atoms:
Nb 0.0000 0.0000 0.0000 (multiplicity 1)
Cu 0.0000 0.0000 0.5000 (multiplicity 1)
Ag 0.0000 0.5000 0.0000 (multiplicity 2)
W 0.5000 0.5000 0.5000 (multiplicity 1)

Properties
* Fermi-level density of states: 8.1 states/eV/f.u.
* mass density: 8.354 g/cm³
* ΔE_f: 228.91 kJ/mol of atoms
* raw total energy: -4.19 eV per atom